--- 1 ---
Computed, not measured: a relaxed structure of RbSrLi2Ag at the PBE level of DFT.

SG	P4/mmm
volume	63.592	A^3/atom

a = 6.330 Å, b = 6.330 Å, c = 7.936 Å
α = 90.00°, β = 90.00°, γ = 90.00°
Fractional coordinates of all 5 atoms:
Rb (0.000, 0.000, 0.000)
Sr (0.000, 0.000, 0.500)
Li (0.000, 0.500, 0.500)
Li (0.500, 0.000, 0.500)
Ag (0.500, 0.500, 0.000)

--- 2 ---
Computed, not measured: a relaxed structure of RbSrLi2Ag at the PBE level of DFT.

SG	P4/mmm
volume	38.602	A^3/atom

a = 5.650 Å, b = 5.650 Å, c = 6.047 Å
α = 90.00°, β = 90.00°, γ = 90.00°
Fractional coordinates of all 5 atoms:
Rb (0.000, 0.000, 0.000)
Sr (0.500, 0.500, 0.000)
Li (0.000, 0.500, 0.500)
Li (0.500, 0.000, 0.500)
Ag (0.500, 0.500, 0.500)

2 (0.761 eV/atom below the next structure)

--- 1 ---
Computed, not measured: a relaxed structure of Li2ReAg at the PBE level of DFT.

SG	P4mm
volume	16.039	A^3/atom

a = 2.634 Å, b = 2.634 Å, c = 9.248 Å
α = 90.00°, β = 90.00°, γ = 90.00°
Fractional coordinates of all 4 atoms:
Li (0.000, 0.000, 0.000)
Li (0.500, 0.500, 0.285)
Re (0.000, 0.000, 0.514)
Ag (0.500, 0.500, 0.769)

--- 2 ---
Computed, not measured: a relaxed structure of Li2ReAg at the PBE level of DFT.

SG	Cmmm
volume	15.204	A^3/atom

a = 2.648 Å, b = 2.648 Å, c = 9.253 Å
α = 90.00°, β = 90.00°, γ = 110.40°
Fractional coordinates of all 4 atoms:
Li (0.000, 0.000, 0.244)
Li (0.000, 0.000, 0.756)
Re (0.500, 0.500, 0.000)
Ag (0.500, 0.500, 0.500)

2 (0.159 eV/atom below the next structure)

--- 1 ---
Computed, not measured: a relaxed structure of Li2ReAg at the PBE level of DFT.

SG	P4/mmm
volume	14.850	A^3/atom

a = 3.911 Å, b = 3.911 Å, c = 3.884 Å
α = 90.00°, β = 90.00°, γ = 90.00°
Fractional coordinates of all 4 atoms:
Li (0.000, 0.500, 0.000)
Li (0.500, 0.000, 0.000)
Re (0.000, 0.000, 0.500)
Ag (0.500, 0.500, 0.500)

--- 2 ---
Computed, not measured: a relaxed structure of Li2ReAg at the PBE level of DFT.

SG	I-42d
volume	14.933	A^3/atom

a = 5.429 Å, b = 5.429 Å, c = 5.429 Å
α = 104.07°, β = 104.07°, γ = 120.91°
Fractional coordinates of all 8 atoms:
Li (0.111, 0.125, 0.486)
Li (0.375, 0.889, 0.014)
Li (0.639, 0.625, 0.514)
Li (0.875, 0.361, 0.986)
Re (0.250, 0.750, 0.500)
Re (0.500, 0.500, 0.000)
Ag (0.000, 0.000, 0.000)
Ag (0.750, 0.250, 0.500)

1 (0.235 eV/atom below the next structure)

--- 1 ---
Computed, not measured: a relaxed structure of Li2ReAg at the PBE level of DFT.

SG	I-4m2
volume	14.986	A^3/atom

a = 4.830 Å, b = 4.830 Å, c = 4.830 Å
α = 132.59°, β = 132.59°, γ = 69.30°
Fractional coordinates of all 4 atoms:
Li (0.000, 0.000, 0.000)
Li (0.750, 0.250, 0.500)
Re (0.250, 0.750, 0.500)
Ag (0.500, 0.500, 0.000)

--- 2 ---
Computed, not measured: a relaxed structure of Li2ReAg at the PBE level of DFT.

SG	Pmm2
volume	15.309	A^3/atom

a = 2.587 Å, b = 4.794 Å, c = 4.937 Å
α = 90.00°, β = 90.00°, γ = 90.00°
Fractional coordinates of all 4 atoms:
Li (0.000, 0.000, 0.000)
Li (0.500, 0.500, 0.166)
Re (0.000, 0.500, 0.662)
Ag (0.500, 0.000, 0.510)

2 (0.358 eV/atom below the next structure)

--- 1 ---
Computed, not measured: a relaxed structure of Li2ReAg at the PBE level of DFT.

SG	R-3m
volume	15.384	A^3/atom

a = 9.551 Å, b = 9.551 Å, c = 9.551 Å
α = 16.53°, β = 16.53°, γ = 16.53°
Fractional coordinates of all 4 atoms:
Li (0.247, 0.247, 0.247)
Li (0.753, 0.753, 0.753)
Re (0.500, 0.500, 0.500)
Ag (0.000, 0.000, 0.000)

--- 2 ---
Computed, not measured: a relaxed structure of Li2ReAg at the PBE level of DFT.

SG	Cmm2
volume	16.007	A^3/atom

a = 2.654 Å, b = 2.654 Å, c = 9.535 Å
α = 90.00°, β = 90.00°, γ = 107.59°
Fractional coordinates of all 4 atoms:
Li (0.000, 0.000, 0.000)
Li (0.500, 0.500, 0.279)
Re (0.500, 0.500, 0.770)
Ag (0.000, 0.000, 0.512)

1 (0.094 eV/atom below the next structure)

--- 1 ---
Computed, not measured: a relaxed structure of LiReAg at the PBE level of DFT.

SG	F-43m
volume	18.288	A^3/atom

a = 4.265 Å, b = 4.265 Å, c = 4.265 Å
α = 60.00°, β = 60.00°, γ = 60.00°
Fractional coordinates of all 3 atoms:
Li (0.000, 0.000, 0.000)
Re (0.500, 0.500, 0.500)
Ag (0.750, 0.750, 0.750)

--- 2 ---
Computed, not measured: a relaxed structure of LiReAg at the PBE level of DFT.

SG	I4mm
volume	15.501	A^3/atom

a = 7.011 Å, b = 7.011 Å, c = 7.011 Å
α = 158.44°, β = 158.44°, γ = 30.68°
Fractional coordinates of all 3 atoms:
Li (0.000, 0.000, 0.000)
Re (0.339, 0.339, 0.000)
Ag (0.665, 0.665, 0.000)

2 (1.035 eV/atom below the next structure)

--- 1 ---
Computed, not measured: a relaxed structure of Li5AgRh at the PBE level of DFT.

SG	C2/c
volume	15.468	A^3/atom

a = 4.661 Å, b = 4.661 Å, c = 10.185 Å
α = 91.22°, β = 91.22°, γ = 78.30°
Fractional coordinates of all 14 atoms:
Li (0.084, 0.916, 0.750)
Li (0.152, 0.435, 0.610)
Li (0.181, 0.443, 0.904)
Li (0.435, 0.152, 0.110)
Li (0.443, 0.181, 0.404)
Li (0.557, 0.819, 0.596)
Li (0.565, 0.848, 0.890)
Li (0.819, 0.557, 0.096)
Li (0.848, 0.565, 0.390)
Li (0.916, 0.084, 0.250)
Ag (0.334, 0.666, 0.250)
Ag (0.666, 0.334, 0.750)
Rh (0.000, 0.000, 0.000)
Rh (0.000, 0.000, 0.500)

--- 2 ---
Computed, not measured: a relaxed structure of Li5AgRh at the PBE level of DFT.

SG	P4/mmm
volume	16.403	A^3/atom

a = 4.073 Å, b = 4.073 Å, c = 6.921 Å
α = 90.00°, β = 90.00°, γ = 90.00°
Fractional coordinates of all 7 atoms:
Li (0.000, 0.000, 0.000)
Li (0.000, 0.500, 0.247)
Li (0.000, 0.500, 0.753)
Li (0.500, 0.000, 0.247)
Li (0.500, 0.000, 0.753)
Ag (0.000, 0.000, 0.500)
Rh (0.500, 0.500, 0.000)

1 (0.038 eV/atom below the next structure)

--- 1 ---
Computed, not measured: a relaxed structure of Li8Ag2Rh at the PBE level of DFT.

SG	Immm
volume	16.175	A^3/atom

a = 6.921 Å, b = 6.921 Å, c = 6.921 Å
α = 142.32°, β = 116.00°, γ = 76.71°
Fractional coordinates of all 11 atoms:
Li (0.128, 0.128, 0.000)
Li (0.158, 0.359, 0.799)
Li (0.313, 0.000, 0.313)
Li (0.440, 0.641, 0.799)
Li (0.560, 0.359, 0.201)
Li (0.687, 0.000, 0.687)
Li (0.842, 0.641, 0.201)
Li (0.872, 0.872, 0.000)
Ag (0.273, 0.773, 0.500)
Ag (0.727, 0.227, 0.500)
Rh (0.000, 0.500, 0.500)

--- 2 ---
Computed, not measured: a relaxed structure of Li8Ag2Rh at the PBE level of DFT.

SG	P4/mmm
volume	16.595	A^3/atom

a = 4.402 Å, b = 4.402 Å, c = 9.421 Å
α = 90.00°, β = 90.00°, γ = 90.00°
Fractional coordinates of all 11 atoms:
Li (0.000, 0.000, 0.187)
Li (0.000, 0.000, 0.813)
Li (0.000, 0.500, 0.000)
Li (0.000, 0.500, 0.367)
Li (0.000, 0.500, 0.633)
Li (0.500, 0.000, 0.000)
Li (0.500, 0.000, 0.367)
Li (0.500, 0.000, 0.633)
Ag (0.500, 0.500, 0.190)
Ag (0.500, 0.500, 0.810)
Rh (0.500, 0.500, 0.500)

1 (0.034 eV/atom below the next structure)

--- 1 ---
Computed, not measured: a relaxed structure of LiAg2Ru at the PBE level of DFT.

SG	R-3m
volume	15.826	A^3/atom

a = 9.536 Å, b = 9.536 Å, c = 9.536 Å
α = 16.82°, β = 16.82°, γ = 16.82°
Fractional coordinates of all 4 atoms:
Li (0.000, 0.000, 0.000)
Ag (0.252, 0.252, 0.252)
Ag (0.748, 0.748, 0.748)
Ru (0.500, 0.500, 0.500)

--- 2 ---
Computed, not measured: a relaxed structure of LiAg2Ru at the PBE level of DFT.

SG	Pmmm
volume	15.878	A^3/atom

a = 2.676 Å, b = 4.247 Å, c = 5.589 Å
α = 90.00°, β = 90.00°, γ = 90.00°
Fractional coordinates of all 4 atoms:
Li (0.000, 0.000, 0.000)
Ag (0.500, 0.500, 0.251)
Ag (0.500, 0.500, 0.749)
Ru (0.000, 0.000, 0.500)

1 (0.052 eV/atom below the next structure)

--- 1 ---
Computed, not measured: a relaxed structure of LiAg2Ru at the PBE level of DFT.

SG	P4/mmm
volume	15.956	A^3/atom

a = 4.837 Å, b = 4.837 Å, c = 2.728 Å
α = 90.00°, β = 90.00°, γ = 90.00°
Fractional coordinates of all 4 atoms:
Li (0.000, 0.000, 0.000)
Ag (0.000, 0.500, 0.500)
Ag (0.500, 0.000, 0.500)
Ru (0.500, 0.500, 0.000)

--- 2 ---
Computed, not measured: a relaxed structure of LiAg2Ru at the PBE level of DFT.

SG	I-4m2
volume	15.973	A^3/atom

a = 4.896 Å, b = 4.896 Å, c = 4.896 Å
α = 131.80°, β = 131.80°, γ = 70.54°
Fractional coordinates of all 4 atoms:
Li (0.000, 0.000, 0.000)
Ag (0.500, 0.500, 0.000)
Ag (0.750, 0.250, 0.500)
Ru (0.250, 0.750, 0.500)

1 (0.183 eV/atom below the next structure)

--- 1 ---
Computed, not measured: a relaxed structure of Li2AgRu at the PBE level of DFT.

SG	Pmmm
volume	14.924	A^3/atom

a = 2.681 Å, b = 4.579 Å, c = 4.862 Å
α = 90.00°, β = 90.00°, γ = 90.00°
Fractional coordinates of all 4 atoms:
Li (0.000, 0.000, 0.000)
Li (0.500, 0.000, 0.500)
Ag (0.000, 0.500, 0.500)
Ru (0.500, 0.500, 0.000)

--- 2 ---
Computed, not measured: a relaxed structure of Li2AgRu at the PBE level of DFT.

SG	Pm
volume	14.657	A^3/atom

a = 2.581 Å, b = 4.455 Å, c = 5.248 Å
α = 90.00°, β = 103.70°, γ = 90.00°
Fractional coordinates of all 4 atoms:
Li (0.000, 0.000, 0.000)
Li (0.092, 0.500, 0.254)
Ag (0.357, 0.500, 0.751)
Ru (0.719, 0.000, 0.486)

2 (0.025 eV/atom below the next structure)

--- 1 ---
Computed, not measured: a relaxed structure of Li2AgRu at the PBE level of DFT.

SG	Fm-3m
volume	13.932	A^3/atom

a = 4.287 Å, b = 4.287 Å, c = 4.287 Å
α = 60.00°, β = 60.00°, γ = 60.00°
Fractional coordinates of all 4 atoms:
Li (0.250, 0.250, 0.250)
Li (0.750, 0.750, 0.750)
Ag (0.000, 0.000, 0.000)
Ru (0.500, 0.500, 0.500)

--- 2 ---
Computed, not measured: a relaxed structure of Li2AgRu at the PBE level of DFT.

SG	P2/m
volume	14.759	A^3/atom

a = 2.599 Å, b = 4.447 Å, c = 5.113 Å
α = 90.00°, β = 92.64°, γ = 90.00°
Fractional coordinates of all 4 atoms:
Li (0.192, 0.000, 0.227)
Li (0.808, 0.000, 0.773)
Ag (0.000, 0.500, 0.500)
Ru (0.500, 0.500, 0.000)

--- 3 ---
Computed, not measured: a relaxed structure of Li2AgRu at the PBE level of DFT.

SG	I-42d
volume	15.284	A^3/atom

a = 5.474 Å, b = 5.474 Å, c = 5.474 Å
α = 103.98°, β = 103.98°, γ = 121.12°
Fractional coordinates of all 8 atoms:
Li (0.124, 0.625, 0.999)
Li (0.375, 0.374, 0.499)
Li (0.626, 0.125, 0.001)
Li (0.875, 0.876, 0.501)
Ag (0.000, 0.000, 0.000)
Ag (0.750, 0.250, 0.500)
Ru (0.250, 0.750, 0.500)
Ru (0.500, 0.500, 0.000)

2 (0.197 eV/atom below the next structure)

--- 1 ---
Computed, not measured: a relaxed structure of Li2AgRu at the PBE level of DFT.

SG	I-4m2
volume	14.589	A^3/atom

a = 4.890 Å, b = 4.890 Å, c = 4.890 Å
α = 134.60°, β = 134.60°, γ = 66.15°
Fractional coordinates of all 4 atoms:
Li (0.000, 0.000, 0.000)
Li (0.750, 0.250, 0.500)
Ag (0.500, 0.500, 0.000)
Ru (0.250, 0.750, 0.500)

--- 2 ---
Computed, not measured: a relaxed structure of Li2AgRu at the PBE level of DFT.

SG	P4/mmm
volume	13.971	A^3/atom

a = 4.573 Å, b = 4.573 Å, c = 2.672 Å
α = 90.00°, β = 90.00°, γ = 90.00°
Fractional coordinates of all 4 atoms:
Li (0.000, 0.500, 0.000)
Li (0.500, 0.000, 0.000)
Ag (0.000, 0.000, 0.500)
Ru (0.500, 0.500, 0.500)

2 (0.101 eV/atom below the next structure)